A plane-wave DFT calculation with PBE-GGA was carried out for a relaxed BaTaReMo2 crystal.

Cell and atoms, written as CIF:
```
data_BaTaReMo2
_cell_length_a 4.793
_cell_length_b 4.793
_cell_length_c 5.436
_cell_angle_alpha 90.00
_cell_angle_beta 90.00
_cell_angle_gamma 90.00
_symmetry_space_group_name_H-M 'P 4/m m m'
_symmetry_Int_Tables_number 123
_symmetry_space_group_name_Hall '-P 4 2'
loop_
_atom_site_label
_atom_site_fract_x
_atom_site_fract_y
_atom_site_fract_z
Ba1 0.000 0.000 0.000
Ta1 0.500 0.500 0.000
Re1 0.000 0.000 0.500
Mo1 0.000 0.500 0.500
```

Summary:
As for the crystal system: tetragonal. The calculation puts the calculated formation energy at 2.123 eV per atom.

A plane-wave DFT calculation with PBE-GGA was carried out for a relaxed AlCdRu2 crystal.

Cell and atoms, written as CIF:
```
data_AlCdRu2
_cell_length_a 2.8501
_cell_length_b 2.8501
_cell_length_c 27.1208
_cell_angle_alpha 90.00
_cell_angle_beta 90.00
_cell_angle_gamma 120.00
_symmetry_space_group_name_H-M 'R 3 m'
_symmetry_Int_Tables_number 160
_symmetry_space_group_name_Hall 'R 3 -2"'
loop_
_atom_site_label
_atom_site_fract_x
_atom_site_fract_y
_atom_site_fract_z
Al1 0.0000 0.0000 0.0000
Cd1 0.0000 0.0000 0.2393
Ru1 0.0000 0.0000 0.4824
Ru2 0.0000 0.0000 0.7417
```

Summary:
As for the crystal system: trigonal. The calculation puts the calculated formation energy at 0.080 eV per atom.

A plane-wave DFT calculation with PBE-GGA was carried out for a relaxed LiHoTmTc crystal.

Cell and atoms, written as CIF:
```
data_LiHoTmTc
_cell_length_a 6.915
_cell_length_b 6.915
_cell_length_c 6.915
_cell_angle_alpha 90.00
_cell_angle_beta 90.00
_cell_angle_gamma 90.00
_symmetry_space_group_name_H-M 'F -4 3 m'
_symmetry_Int_Tables_number 216
_symmetry_space_group_name_Hall 'F -4 2 3'
loop_
_atom_site_label
_atom_site_fract_x
_atom_site_fract_y
_atom_site_fract_z
Li1 0.000 0.000 0.000
Ho1 0.250 0.250 0.250
Tm1 0.250 0.250 0.750
Tc1 0.000 0.000 0.500
```

Summary:
As for the crystal system: cubic. The calculation puts the calculated formation energy at -0.060 eV per atom.

A plane-wave DFT calculation with PBE-GGA was carried out for a relaxed TmSc3Au4 crystal.

Cell and atoms, written as CIF:
```
data_TmSc3Au4
_cell_length_a 3.443
_cell_length_b 3.443
_cell_length_c 13.741
_cell_angle_alpha 90.00
_cell_angle_beta 90.00
_cell_angle_gamma 90.00
_symmetry_space_group_name_H-M 'P 4/m m m'
_symmetry_Int_Tables_number 123
_symmetry_space_group_name_Hall '-P 4 2'
loop_
_atom_site_label
_atom_site_fract_x
_atom_site_fract_y
_atom_site_fract_z
Tm1 0.000 0.000 0.000
Sc1 0.000 0.000 0.255
Sc2 0.000 0.000 0.500
Au1 0.500 0.500 0.136
Au2 0.500 0.500 0.378
```

Summary:
As for the crystal system: tetragonal. The calculation puts the calculated formation energy at -0.826 eV per atom.

A plane-wave DFT calculation with PBE-GGA was carried out for a relaxed LaEr8Th4 crystal.

Cell and atoms, written as CIF:
```
data_LaEr8Th4
_cell_length_a 7.3369
_cell_length_b 7.3369
_cell_length_c 26.5765
_cell_angle_alpha 90.00
_cell_angle_beta 90.00
_cell_angle_gamma 120.00
_symmetry_space_group_name_H-M 'R -3 m'
_symmetry_Int_Tables_number 166
_symmetry_space_group_name_Hall '-R 3 2"'
loop_
_atom_site_label
_atom_site_fract_x
_atom_site_fract_y
_atom_site_fract_z
La1 0.0000 0.0000 0.0000
Er1 0.0000 0.0000 0.2785
Er2 0.0403 0.5201 0.2698
Th1 0.0000 0.0000 0.5000
Th2 0.0000 0.5000 0.5000
```

Summary:
As for the crystal system: trigonal. The calculation puts the calculated formation energy at 0.208 eV per atom.

A plane-wave DFT calculation with PBE-GGA was carried out for a relaxed TeP2W crystal.

Cell and atoms, written as CIF:
```
data_TeP2W
_cell_length_a 3.096
_cell_length_b 3.096
_cell_length_c 8.174
_cell_angle_alpha 90.00
_cell_angle_beta 90.00
_cell_angle_gamma 90.00
_symmetry_space_group_name_H-M 'P 4/m m m'
_symmetry_Int_Tables_number 123
_symmetry_space_group_name_Hall '-P 4 2'
loop_
_atom_site_label
_atom_site_fract_x
_atom_site_fract_y
_atom_site_fract_z
Te1 0.000 0.000 0.000
P1 0.500 0.500 0.339
W1 0.000 0.000 0.500
```

Summary:
As for the crystal system: tetragonal. For the formation energy from raw total energies, the calculation gives 11.8 kJ per mole of atoms.

Number 1: VASP energy -7.454 eV/atom, V 124.9 Å³ per cell, DOS at the Fermi energy 8.6 states/eV per cell. Number 2: VASP energy -5.722 eV/atom, V 190.8 Å³ per cell, DOS at the Fermi energy 8.7 states/eV per cell. Number 3: VASP energy -5.393 eV/atom, V 330.7 Å³ per cell, DOS at the Fermi energy 15.7 states/eV per cell. Number 4: VASP energy -5.398 eV/atom, V 162.9 Å³ per cell, DOS at the Fermi energy 3.7 states/eV per cell. Number 5: VASP energy -5.262 eV/atom, V 1238.9 Å³ per cell, DOS at the Fermi energy 50.6 states/eV per cell. Number 6: VASP energy -6.606 eV/atom, V 78.4 Å³ per cell, DOS at the Fermi energy 2.9 states/eV per cell.